Arrangement 1

The following is a PBE with a Hubbard U calculation of an optimized crystal structure of Ba2MnF, from Alexandria via LeMat-Bulk.

volume = 152 Å³/f.u.
size of the total moment = 4.03 μB/f.u.
DOS at the Fermi energy = 2.41 states/eV/f.u.

a = 7.3684 Å, b = 7.3684 Å, c = 7.3684 Å
α = 112.87°, β = 112.87°, γ = 102.87°
Positions (direct):
1 Ba 0.0279 0.6250 0.9029
2 Ba 0.3750 0.2779 0.4029
3 Ba 0.7221 0.1250 0.0971
4 Ba 0.8750 0.9721 0.5971
5 Mn 0.2500 0.7500 0.5000
6 Mn 0.5000 0.5000 0.0000
7 F 0.0000 0.0000 0.0000
8 F 0.7500 0.2500 0.5000

=====

Arrangement 2

The following is a PBE with a Hubbard U calculation of an optimized crystal structure of Ba2MnF, from Alexandria via LeMat-Bulk.

volume = 145 Å³/f.u.
size of the total moment = 5.79 μB/f.u.
DOS at the Fermi energy = 5.25 states/eV/f.u.

a = 5.8918 Å, b = 5.8918 Å, c = 5.8918 Å
α = 60.00°, β = 60.00°, γ = 60.00°
Positions (direct):
1 Ba 0.2500 0.2500 0.2500
2 Ba 0.7500 0.7500 0.7500
3 Mn 0.0000 0.0000 0.0000
4 F 0.5000 0.5000 0.5000

=====

Most stable structure: arrangement 1

=====

Arrangement 1

The following is a PBE with a Hubbard U calculation of an optimized crystal structure of BaMnF5, from Alexandria via LeMat-Bulk.

volume = 111 Å³/f.u.
size of the total moment = 4.00 μB/f.u.
DOS at the Fermi energy = 0.00 states/eV/f.u.

a = 5.3097 Å, b = 5.8302 Å, c = 14.2894 Å
α = 90.00°, β = 90.00°, γ = 90.00°
Positions (direct):
1 Ba 0.2457 0.1386 0.3405
2 Ba 0.2543 0.8614 0.8405
3 Ba 0.7457 0.3614 0.6595
4 Ba 0.7543 0.6386 0.1595
5 Mn 0.1754 0.8730 0.5872
6 Mn 0.3246 0.1270 0.0872
7 Mn 0.6754 0.6270 0.4128
8 Mn 0.8246 0.3730 0.9128
9 F 0.0333 0.1269 0.5266
10 F 0.0795 0.3832 0.8186
11 F 0.0833 0.1440 0.9880
12 F 0.1212 0.9235 0.1786
13 F 0.1977 0.3892 0.1476
14 F 0.3023 0.6108 0.6476
15 F 0.3788 0.0765 0.6786
16 F 0.4167 0.8560 0.4880
17 F 0.4205 0.6168 0.3186
18 F 0.4667 0.8731 0.0266
19 F 0.5333 0.3731 0.4734
20 F 0.5795 0.1168 0.1814
21 F 0.5833 0.3560 0.0120
22 F 0.6212 0.5765 0.8214
23 F 0.6977 0.1108 0.8524
24 F 0.8023 0.8892 0.3524
25 F 0.8788 0.4235 0.3214
26 F 0.9167 0.6440 0.5120
27 F 0.9205 0.8832 0.6814
28 F 0.9667 0.6269 0.9734

=====

Arrangement 2

The following is a PBE with a Hubbard U calculation of an optimized crystal structure of BaMnF5, from Alexandria via LeMat-Bulk.

volume = 95 Å³/f.u.
size of the total moment = 4.02 μB/f.u.
DOS at the Fermi energy = 3.66 states/eV/f.u.

a = 3.6541 Å, b = 3.6541 Å, c = 7.1295 Å
α = 90.00°, β = 90.00°, γ = 90.00°
Positions (direct):
1 Ba 0.0000 0.0000 0.0000
2 Mn 0.0000 0.0000 0.5000
3 F 0.0000 0.5000 0.3312
4 F 0.0000 0.5000 0.6688
5 F 0.5000 0.0000 0.3312
6 F 0.5000 0.0000 0.6688
7 F 0.5000 0.5000 0.0000

=====

Most stable structure: arrangement 1

=====

Arrangement 1

The following is a PBE with a Hubbard U calculation of an optimized crystal structure of BaMn2F, from Alexandria via LeMat-Bulk.

volume = 117 Å³/f.u.
size of the total moment = 9.44 μB/f.u.
DOS at the Fermi energy = 6.39 states/eV/f.u.

a = 5.4919 Å, b = 5.4919 Å, c = 5.4919 Å
α = 60.00°, β = 60.00°, γ = 60.00°
Positions (direct):
1 Ba 0.0000 0.0000 0.0000
2 Mn 0.2500 0.2500 0.2500
3 Mn 0.7500 0.7500 0.7500
4 F 0.5000 0.5000 0.5000

=====

Arrangement 2

The following is a PBE with a Hubbard U calculation of an optimized crystal structure of BaMn2F, from Alexandria via LeMat-Bulk.

volume = 106 Å³/f.u.
size of the total moment = 8.89 μB/f.u.
DOS at the Fermi energy = 1.15 states/eV/f.u.

a = 14.4294 Å, b = 14.4294 Å, c = 14.4294 Å
α = 164.57°, β = 164.57°, γ = 21.89°
Positions (direct):
1 Ba 0.0000 0.0000 0.0000
2 Ba 0.7500 0.2500 0.5000
3 Mn 0.1249 0.1250 0.4999
4 Mn 0.3750 0.8751 0.0001
5 Mn 0.6251 0.6250 0.5001
6 Mn 0.8750 0.3749 0.9999
7 F 0.2500 0.7500 0.5000
8 F 0.5000 0.5000 0.0000

=====

Most stable structure: arrangement 2

=====

Arrangement 1

The following is a PBE with a Hubbard U calculation of an optimized crystal structure of Ba5Mn3O12F, from Alexandria via LeMat-Bulk.

volume = 371 Å³/f.u.
size of the total moment = 6.00 μB/f.u.
DOS at the Fermi energy = 0.00 states/eV/f.u.

a = 10.4871 Å, b = 10.4871 Å, c = 7.7860 Å
α = 90.00°, β = 90.00°, γ = 120.00°
Positions (direct):
1 Ba 0.0096 0.2400 0.2500
2 Ba 0.2304 0.9904 0.2500
3 Ba 0.2400 0.2304 0.7500
4 Ba 0.3333 0.6667 0.5025
5 Ba 0.3333 0.6667 0.9975
6 Ba 0.6667 0.3333 0.0025
7 Ba 0.6667 0.3333 0.4975
8 Ba 0.7600 0.7696 0.2500
9 Ba 0.7696 0.0096 0.7500
10 Ba 0.9904 0.7600 0.7500
11 Mn 0.0283 0.4014 0.7500
12 Mn 0.3731 0.9717 0.7500
13 Mn 0.4014 0.3731 0.2500
14 Mn 0.5986 0.6269 0.7500
15 Mn 0.6269 0.0283 0.2500
16 Mn 0.9717 0.5986 0.2500
17 O 0.0909 0.3487 0.5755
18 O 0.0909 0.3487 0.9245
19 O 0.1157 0.5908 0.7500
20 O 0.1603 0.6834 0.2500
21 O 0.2579 0.9091 0.5755
22 O 0.2579 0.9091 0.9245
23 O 0.3166 0.4769 0.2500
24 O 0.3487 0.2579 0.0755
25 O 0.3487 0.2579 0.4245
26 O 0.4092 0.5249 0.7500
27 O 0.4751 0.8843 0.7500
28 O 0.4769 0.1603 0.7500
29 O 0.5231 0.8397 0.2500
30 O 0.5249 0.1157 0.2500
31 O 0.5908 0.4751 0.2500
32 O 0.6513 0.7421 0.5755
33 O 0.6513 0.7421 0.9245
34 O 0.6834 0.5231 0.7500
35 O 0.7421 0.0909 0.0755
36 O 0.7421 0.0909 0.4245
37 O 0.8397 0.3166 0.7500
38 O 0.8843 0.4092 0.2500
39 O 0.9091 0.6513 0.0755
40 O 0.9091 0.6513 0.4245
41 F 0.0000 0.0000 0.0000
42 F 0.0000 0.0000 0.5000

=====

Arrangement 2

The following is a PBE with a Hubbard U calculation of an optimized crystal structure of Ba5Mn3O12F, from Alexandria via LeMat-Bulk.

volume = 383 Å³/f.u.
size of the total moment = 6.00 μB/f.u.
DOS at the Fermi energy = 0.00 states/eV/f.u.

a = 10.5358 Å, b = 10.5358 Å, c = 7.9596 Å
α = 90.00°, β = 90.00°, γ = 120.00°
Positions (direct):
1 Ba 0.0138 0.7586 0.2500
2 Ba 0.2414 0.2552 0.2500
3 Ba 0.2552 0.0138 0.7500
4 Ba 0.3333 0.6667 0.5019
5 Ba 0.3333 0.6667 0.9981
6 Ba 0.6667 0.3333 0.0019
7 Ba 0.6667 0.3333 0.4981
8 Ba 0.7448 0.9862 0.2500
9 Ba 0.7586 0.7448 0.7500
10 Ba 0.9862 0.2414 0.7500
11 Mn 0.0322 0.6326 0.7500
12 Mn 0.3674 0.3997 0.7500
13 Mn 0.3997 0.0322 0.2500
14 Mn 0.6003 0.9678 0.7500
15 Mn 0.6326 0.6003 0.2500
16 Mn 0.9678 0.3674 0.2500
17 O 0.0920 0.7455 0.5774
18 O 0.0920 0.7455 0.9226
19 O 0.1239 0.5354 0.7500
20 O 0.1551 0.4797 0.2500
21 O 0.2545 0.3465 0.5774
22 O 0.2545 0.3465 0.9226
23 O 0.3246 0.8449 0.2500
24 O 0.3465 0.0920 0.0774
25 O 0.3465 0.0920 0.4226
26 O 0.4115 0.8761 0.7500
27 O 0.4646 0.5885 0.7500
28 O 0.4797 0.3246 0.7500
29 O 0.5203 0.6754 0.2500
30 O 0.5354 0.4115 0.2500
31 O 0.5885 0.1239 0.2500
32 O 0.6535 0.9080 0.5774
33 O 0.6535 0.9080 0.9226
34 O 0.6754 0.1551 0.7500
35 O 0.7455 0.6535 0.0774
36 O 0.7455 0.6535 0.4226
37 O 0.8449 0.5203 0.7500
38 O 0.8761 0.4646 0.2500
39 O 0.9080 0.2545 0.0774
40 O 0.9080 0.2545 0.4226
41 F 0.0000 0.0000 0.2500
42 F 0.0000 0.0000 0.7500

=====

Most stable structure: arrangement 2

=====

Arrangement 1

The following is a PBE with a Hubbard U calculation of an optimized crystal structure of Rb2BaMnF6, from Alexandria via LeMat-Bulk.

volume = 206 Å³/f.u.
size of the total moment = 5.00 μB/f.u.
DOS at the Fermi energy = 0.00 states/eV/f.u.

a = 6.6305 Å, b = 6.6305 Å, c = 6.6305 Å
α = 60.00°, β = 60.00°, γ = 60.00°
Positions (direct):
1 Rb 0.2500 0.2500 0.2500
2 Rb 0.7500 0.7500 0.7500
3 Ba 0.0000 0.0000 0.0000
4 Mn 0.5000 0.5000 0.5000
5 F 0.2712 0.2712 0.7288
6 F 0.2712 0.7288 0.2712
7 F 0.2712 0.7288 0.7288
8 F 0.7288 0.2712 0.2712
9 F 0.7288 0.2712 0.7288
10 F 0.7288 0.7288 0.2712

=====

Arrangement 2

The following is a PBE with a Hubbard U calculation of an optimized crystal structure of Rb2BaMnF6, from Alexandria via LeMat-Bulk.

volume = 207 Å³/f.u.
size of the total moment = 5.00 μB/f.u.
DOS at the Fermi energy = 0.00 states/eV/f.u.

a = 6.3679 Å, b = 9.3057 Å, c = 6.9978 Å
α = 90.00°, β = 90.00°, γ = 90.00°
Positions (direct):
1 Rb 0.2500 0.0303 0.1898
2 Rb 0.2500 0.4697 0.1898
3 Rb 0.7500 0.5303 0.8102
4 Rb 0.7500 0.9697 0.8102
5 Ba 0.2500 0.2500 0.7024
6 Ba 0.7500 0.7500 0.2976
7 Mn 0.2500 0.7500 0.7869
8 Mn 0.7500 0.2500 0.2131
9 F 0.0006 0.2500 0.4148
10 F 0.0179 0.7500 0.0152
11 F 0.2500 0.5178 0.7896
12 F 0.2500 0.9822 0.7896
13 F 0.4821 0.7500 0.0152
14 F 0.4994 0.2500 0.4148
15 F 0.5006 0.7500 0.5852
16 F 0.5179 0.2500 0.9848
17 F 0.7500 0.0178 0.2104
18 F 0.7500 0.4822 0.2104
19 F 0.9821 0.2500 0.9848
20 F 0.9994 0.7500 0.5852

=====

Most stable structure: arrangement 2

=====

Arrangement 1

The following is a PBE with a Hubbard U calculation of an optimized crystal structure of BaMn2ZnF, from Alexandria via LeMat-Bulk.

volume = 158 Å³/f.u.
size of the total moment = 9.29 μB/f.u.
DOS at the Fermi energy = 1.79 states/eV/f.u.

a = 4.8088 Å, b = 4.8088 Å, c = 6.8471 Å
α = 90.00°, β = 90.00°, γ = 90.00°
Positions (direct):
1 Ba 0.0000 0.0000 0.0000
2 Mn 0.0000 0.5000 0.5000
3 Mn 0.5000 0.0000 0.5000
4 Zn 0.0000 0.0000 0.5000
5 F 0.5000 0.5000 0.0000

=====

Arrangement 2

The following is a PBE with a Hubbard U calculation of an optimized crystal structure of BaMn2ZnF, from Alexandria via LeMat-Bulk.

volume = 145 Å³/f.u.
size of the total moment = 9.41 μB/f.u.
DOS at the Fermi energy = 4.02 states/eV/f.u.

a = 4.8334 Å, b = 4.8334 Å, c = 6.2109 Å
α = 90.00°, β = 90.00°, γ = 90.00°
Positions (direct):
1 Ba 0.0000 0.0000 0.0000
2 Mn 0.0000 0.5000 0.5000
3 Mn 0.5000 0.0000 0.5000
4 Zn 0.5000 0.5000 0.5000
5 F 0.5000 0.5000 0.0000

=====

Most stable structure: arrangement 1

=====

Arrangement 1

The following is a PBE with a Hubbard U calculation of an optimized crystal structure of BaMoF3, from Alexandria via LeMat-Bulk.

volume = 131 Å³/f.u.
size of the total moment = 5.00 μB/f.u.
DOS at the Fermi energy = 0.00 states/eV/f.u.

a = 5.0739 Å, b = 5.0739 Å, c = 5.0739 Å
α = 90.00°, β = 90.00°, γ = 90.00°
Positions (direct):
1 Ba 0.0000 0.0000 0.0000
2 Mo 0.5000 0.5000 0.5000
3 F 0.0000 0.0000 0.5000
4 F 0.0000 0.5000 0.0000
5 F 0.5000 0.0000 0.0000

=====

Arrangement 2

The following is a PBE with a Hubbard U calculation of an optimized crystal structure of BaMoF3, from Alexandria via LeMat-Bulk.

volume = 102 Å³/f.u.
size of the total moment = 4.70 μB/f.u.
DOS at the Fermi energy = 1.76 states/eV/f.u.

a = 4.6740 Å, b = 4.6740 Å, c = 4.6740 Å
α = 90.00°, β = 90.00°, γ = 90.00°
Positions (direct):
1 Ba 0.0000 0.0000 0.0000
2 Mo 0.5000 0.5000 0.5000
3 F 0.0000 0.5000 0.5000
4 F 0.5000 0.0000 0.5000
5 F 0.5000 0.5000 0.0000

=====

Most stable structure: arrangement 2

=====

Arrangement 1

The following is a PBE with a Hubbard U calculation of an optimized crystal structure of Ba2MoF, from Alexandria via LeMat-Bulk.

volume = 154 Å³/f.u.
size of the total moment = 5.00 μB/f.u.
DOS at the Fermi energy = 1.67 states/eV/f.u.

a = 7.3794 Å, b = 7.3794 Å, c = 7.3794 Å
α = 112.33°, β = 112.33°, γ = 103.90°
Positions (direct):
1 Ba 0.0273 0.6250 0.9023
2 Ba 0.3750 0.2773 0.4023
3 Ba 0.7227 0.1250 0.0977
4 Ba 0.8750 0.9727 0.5977
5 Mo 0.2500 0.7500 0.5000
6 Mo 0.5000 0.5000 0.0000
7 F 0.0000 0.0000 0.0000
8 F 0.7500 0.2500 0.5000

=====

Arrangement 2

The following is a PBE with a Hubbard U calculation of an optimized crystal structure of Ba2MoF, from Alexandria via LeMat-Bulk.

volume = 147 Å³/f.u.
size of the total moment = 5.02 μB/f.u.
DOS at the Fermi energy = 3.79 states/eV/f.u.

a = 5.9201 Å, b = 5.9201 Å, c = 5.9201 Å
α = 60.00°, β = 60.00°, γ = 60.00°
Positions (direct):
1 Ba 0.2500 0.2500 0.2500
2 Ba 0.7500 0.7500 0.7500
3 Mo 0.0000 0.0000 0.0000
4 F 0.5000 0.5000 0.5000

=====

Most stable structure: arrangement 1

=====

Arrangement 1

The following is a PBE with a Hubbard U calculation of an optimized crystal structure of BaMoOF2, from Alexandria via LeMat-Bulk.

volume = 123 Å³/f.u.
size of the total moment = 4.00 μB/f.u.
DOS at the Fermi energy = 2.11 states/eV/f.u.

a = 4.9488 Å, b = 4.9488 Å, c = 5.0257 Å
α = 90.00°, β = 90.00°, γ = 90.00°
Positions (direct):
1 Ba 0.0000 0.0000 0.0000
2 Mo 0.5000 0.5000 0.5000
3 O 0.0000 0.0000 0.5000
4 F 0.0000 0.5000 0.0000
5 F 0.5000 0.0000 0.0000

=====

Arrangement 2

The following is a PBE with a Hubbard U calculation of an optimized crystal structure of BaMoOF2, from Alexandria via LeMat-Bulk.

volume = 89 Å³/f.u.
size of the total moment = 3.94 μB/f.u.
DOS at the Fermi energy = 0.63 states/eV/f.u.

a = 4.5439 Å, b = 4.5439 Å, c = 4.3107 Å
α = 90.00°, β = 90.00°, γ = 90.00°
Positions (direct):
1 Ba 0.0000 0.0000 0.0000
2 Mo 0.5000 0.5000 0.5000
3 O 0.5000 0.5000 0.0000
4 F 0.0000 0.5000 0.5000
5 F 0.5000 0.0000 0.5000

=====

Most stable structure: arrangement 2

=====

Arrangement 1

The following is a PBE with a Hubbard U calculation of an optimized crystal structure of Rb2BaMoF6, from Alexandria via LeMat-Bulk.

volume = 215 Å³/f.u.
size of the total moment = 2.00 μB/f.u.
DOS at the Fermi energy = 0.05 states/eV/f.u.

a = 6.3336 Å, b = 9.3095 Å, c = 7.2980 Å
α = 90.00°, β = 90.00°, γ = 90.00°
Positions (direct):
1 Rb 0.2500 0.0382 0.1846
2 Rb 0.2500 0.4618 0.1846
3 Rb 0.7500 0.5382 0.8154
4 Rb 0.7500 0.9618 0.8154
5 Ba 0.2500 0.2500 0.6980
6 Ba 0.7500 0.7500 0.3020
7 Mo 0.2500 0.7500 0.7952
8 Mo 0.7500 0.2500 0.2048
9 F 0.0033 0.7500 0.5725
10 F 0.0146 0.7500 0.0288
11 F 0.2500 0.5162 0.7974
12 F 0.2500 0.9838 0.7974
13 F 0.4854 0.7500 0.0288
14 F 0.4967 0.7500 0.5725
15 F 0.5033 0.2500 0.4275
16 F 0.5146 0.2500 0.9712
17 F 0.7500 0.0162 0.2026
18 F 0.7500 0.4838 0.2026
19 F 0.9854 0.2500 0.9712
20 F 0.9967 0.2500 0.4275

=====

Arrangement 2

The following is a PBE with a Hubbard U calculation of an optimized crystal structure of Rb2BaMoF6, from Alexandria via LeMat-Bulk.

volume = 231 Å³/f.u.
size of the total moment = 4.00 μB/f.u.
DOS at the Fermi energy = 0.00 states/eV/f.u.

a = 7.0249 Å, b = 7.0249 Å, c = 7.0249 Å
α = 123.52°, β = 123.52°, γ = 84.00°
Positions (direct):
1 Rb 0.2500 0.7500 0.5000
2 Rb 0.7500 0.2500 0.5000
3 Ba 0.0000 0.0000 0.0000
4 Mo 0.5000 0.5000 0.0000
5 F 0.2430 0.2430 0.0000
6 F 0.2706 0.2706 0.5412
7 F 0.2706 0.7294 0.0000
8 F 0.7294 0.2706 0.0000
9 F 0.7294 0.7294 0.4588
10 F 0.7570 0.7570 0.0000

=====

Most stable structure: arrangement 2